# 1
# Pm2Dy3Mg2, relaxed, DFT PBE-GGA
data_Pm2Dy3Mg2
_chemical_formula_sum 'Pm4 Dy6 Mg4'
_cell_length_a 3.526
_cell_length_b 34.475
_cell_length_c 3.498
_cell_angle_alpha 90.00
_cell_angle_beta 90.00
_cell_angle_gamma 90.00
_symmetry_space_group_name_H-M 'P 1'
_symmetry_Int_Tables_number 1
loop_
_symmetry_equiv_pos_as_xyz
'x,y,z'
loop_
_atom_site_label
_atom_site_type_symbol
_atom_site_fract_x
_atom_site_fract_y
_atom_site_fract_z
Pm1 Pm 0.000 0.205 0.000
Pm2 Pm 0.000 0.795 0.000
Pm3 Pm 0.500 0.295 0.000
Pm4 Pm 0.500 0.705 0.000
Dy1 Dy 0.000 0.072 0.000
Dy2 Dy 0.000 0.500 0.500
Dy3 Dy 0.000 0.928 0.000
Dy4 Dy 0.500 0.000 0.500
Dy5 Dy 0.500 0.428 0.000
Dy6 Dy 0.500 0.572 0.000
Mg1 Mg 0.000 0.363 0.500
Mg2 Mg 0.000 0.637 0.500
Mg3 Mg 0.500 0.137 0.500
Mg4 Mg 0.500 0.863 0.500
# Size of the total moment (μB/f.u.): 0.03
# Raw total energy (eV for the cell shown): -52.51
# Space group: Cmmm (65)
# Energy of formation (eV/atom): 0.03

---

# 2
# Pm4Dy5Mg2, relaxed, DFT PBE-GGA
data_Pm4Dy5Mg2
_chemical_formula_sum 'Pm4 Dy5 Mg2'
_cell_length_a 3.501
_cell_length_b 8.710
_cell_length_c 11.615
_cell_angle_alpha 95.83
_cell_angle_beta 90.07
_cell_angle_gamma 101.58
_symmetry_space_group_name_H-M 'P 1'
_symmetry_Int_Tables_number 1
loop_
_symmetry_equiv_pos_as_xyz
'x,y,z'
loop_
_atom_site_label
_atom_site_type_symbol
_atom_site_fract_x
_atom_site_fract_y
_atom_site_fract_z
Pm1 Pm 0.042 0.081 0.288
Pm2 Pm 0.368 0.729 0.185
Pm3 Pm 0.632 0.271 0.815
Pm4 Pm 0.958 0.919 0.712
Dy1 Dy 0.178 0.357 0.080
Dy2 Dy 0.262 0.526 0.645
Dy3 Dy 0.500 0.000 0.000
Dy4 Dy 0.738 0.474 0.355
Dy5 Dy 0.822 0.643 0.920
Mg1 Mg 0.405 0.815 0.460
Mg2 Mg 0.595 0.185 0.540
# Relative energy among the computed polymorphs (eV/atom): 0.000
# Size of the total moment (μB/f.u.): 0.00
# Raw total energy (eV for the cell shown): -44.84
# Space group: P-1 (2)
# Energy of formation (eV/atom): 0.03

---

# 3
# Pm2Dy3Mg, relaxed, DFT PBE-GGA
data_Pm2Dy3Mg
_chemical_formula_sum 'Pm4 Dy6 Mg2'
_cell_length_a 7.612
_cell_length_b 7.612
_cell_length_c 6.791
_cell_angle_alpha 94.12
_cell_angle_beta 94.12
_cell_angle_gamma 99.10
_symmetry_space_group_name_H-M 'P 1'
_symmetry_Int_Tables_number 1
loop_
_symmetry_equiv_pos_as_xyz
'x,y,z'
loop_
_atom_site_label
_atom_site_type_symbol
_atom_site_fract_x
_atom_site_fract_y
_atom_site_fract_z
Pm1 Pm 0.070 0.604 0.806
Pm2 Pm 0.396 0.930 0.694
Pm3 Pm 0.604 0.070 0.306
Pm4 Pm 0.930 0.396 0.194
Dy1 Dy 0.050 0.950 0.250
Dy2 Dy 0.290 0.330 0.516
Dy3 Dy 0.330 0.290 0.016
Dy4 Dy 0.670 0.710 0.984
Dy5 Dy 0.710 0.670 0.484
Dy6 Dy 0.950 0.050 0.750
Mg1 Mg 0.322 0.678 0.250
Mg2 Mg 0.678 0.322 0.750
# Relative energy among the computed polymorphs (eV/atom): 0.000
# Size of the total moment (μB/f.u.): 0.00
# Raw total energy (eV for the cell shown): -48.23
# Space group: C2/c (15)
# Energy of formation (eV/atom): 0.13

---

# 4
# Pm2DyMg, relaxed, DFT PBE-GGA
data_Pm2DyMg
_chemical_formula_sum 'Pm2 Dy1 Mg1'
_cell_length_a 3.703
_cell_length_b 3.703
_cell_length_c 9.045
_cell_angle_alpha 90.00
_cell_angle_beta 90.00
_cell_angle_gamma 90.00
_symmetry_space_group_name_H-M 'P 1'
_symmetry_Int_Tables_number 1
loop_
_symmetry_equiv_pos_as_xyz
'x,y,z'
loop_
_atom_site_label
_atom_site_type_symbol
_atom_site_fract_x
_atom_site_fract_y
_atom_site_fract_z
Pm1 Pm 0.000 0.000 0.230
Pm2 Pm 0.000 0.000 0.770
Dy1 Dy 0.500 0.500 0.500
Mg1 Mg 0.500 0.500 0.000
# Relative energy among the computed polymorphs (eV/atom): 0.000
# Size of the total moment (μB/f.u.): 0.00
# Raw total energy (eV for the cell shown): -15.82
# Space group: P4/mmm (123)
# Energy of formation (eV/atom): -0.03

---

# 5
# Pm5Dy2Mg5, relaxed, DFT PBE-GGA
data_Pm5Dy2Mg5
_chemical_formula_sum 'Pm5 Dy2 Mg5'
_cell_length_a 8.030
_cell_length_b 8.030
_cell_length_c 14.070
_cell_angle_alpha 108.78
_cell_angle_beta 108.78
_cell_angle_gamma 25.32
_symmetry_space_group_name_H-M 'P 1'
_symmetry_Int_Tables_number 1
loop_
_symmetry_equiv_pos_as_xyz
'x,y,z'
loop_
_atom_site_label
_atom_site_type_symbol
_atom_site_fract_x
_atom_site_fract_y
_atom_site_fract_z
Pm1 Pm 0.000 0.000 0.000
Pm2 Pm 0.352 0.352 0.558
Pm3 Pm 0.434 0.434 0.195
Pm4 Pm 0.566 0.566 0.805
Pm5 Pm 0.648 0.648 0.442
Dy1 Dy 0.188 0.188 0.675
Dy2 Dy 0.812 0.812 0.325
Mg1 Mg 0.000 0.000 0.500
Mg2 Mg 0.130 0.130 0.229
Mg3 Mg 0.286 0.286 0.926
Mg4 Mg 0.714 0.714 0.074
Mg5 Mg 0.870 0.870 0.771
# Size of the total moment (μB/f.u.): 0.00
# Raw total energy (eV for the cell shown): -39.98
# Space group: C2/m (12)
# Energy of formation (eV/atom): 0.08

---

# 6
# Pm2DyMg, relaxed, DFT PBE-GGA
data_Pm2DyMg
_chemical_formula_sum 'Pm2 Dy1 Mg1'
_cell_length_a 5.013
_cell_length_b 5.013
_cell_length_c 4.897
_cell_angle_alpha 90.00
_cell_angle_beta 90.00
_cell_angle_gamma 90.00
_symmetry_space_group_name_H-M 'P 1'
_symmetry_Int_Tables_number 1
loop_
_symmetry_equiv_pos_as_xyz
'x,y,z'
loop_
_atom_site_label
_atom_site_type_symbol
_atom_site_fract_x
_atom_site_fract_y
_atom_site_fract_z
Pm1 Pm 0.000 0.500 0.000
Pm2 Pm 0.500 0.000 0.000
Dy1 Dy 0.000 0.000 0.500
Mg1 Mg 0.500 0.500 0.500
# Relative energy among the computed polymorphs (eV/atom): 0.041
# Size of the total moment (μB/f.u.): 0.00
# Raw total energy (eV for the cell shown): -15.66
# Space group: P4/mmm (123)
# Energy of formation (eV/atom): 0.01

---

# 7
# PmDy2Mg2, relaxed, DFT PBE-GGA
data_PmDy2Mg2
_chemical_formula_sum 'Pm2 Dy4 Mg4'
_cell_length_a 8.989
_cell_length_b 8.989
_cell_length_c 3.618
_cell_angle_alpha 90.00
_cell_angle_beta 90.00
_cell_angle_gamma 90.00
_symmetry_space_group_name_H-M 'P 1'
_symmetry_Int_Tables_number 1
loop_
_symmetry_equiv_pos_as_xyz
'x,y,z'
loop_
_atom_site_label
_atom_site_type_symbol
_atom_site_fract_x
_atom_site_fract_y
_atom_site_fract_z
Pm1 Pm 0.000 0.000 0.000
Pm2 Pm 0.500 0.500 0.000
Dy1 Dy 0.132 0.368 0.000
Dy2 Dy 0.368 0.868 0.000
Dy3 Dy 0.632 0.132 0.000
Dy4 Dy 0.868 0.632 0.000
Mg1 Mg 0.165 0.665 0.500
Mg2 Mg 0.335 0.165 0.500
Mg3 Mg 0.665 0.835 0.500
Mg4 Mg 0.835 0.335 0.500
# Relative energy among the computed polymorphs (eV/atom): 0.123
# Size of the total moment (μB/f.u.): 0.00
# Raw total energy (eV for the cell shown): -33.75
# Space group: P4/mbm (127)
# Energy of formation (eV/atom): 0.05

---

# 8
# Pm2Dy2Mg, relaxed, DFT PBE-GGA
data_Pm2Dy2Mg
_chemical_formula_sum 'Pm4 Dy4 Mg2'
_cell_length_a 13.153
_cell_length_b 13.153
_cell_length_c 13.153
_cell_angle_alpha 157.35
_cell_angle_beta 157.35
_cell_angle_gamma 32.25
_symmetry_space_group_name_H-M 'P 1'
_symmetry_Int_Tables_number 1
loop_
_symmetry_equiv_pos_as_xyz
'x,y,z'
loop_
_atom_site_label
_atom_site_type_symbol
_atom_site_fract_x
_atom_site_fract_y
_atom_site_fract_z
Pm1 Pm 0.046 0.296 0.750
Pm2 Pm 0.296 0.046 0.250
Pm3 Pm 0.704 0.954 0.750
Pm4 Pm 0.954 0.704 0.250
Dy1 Dy 0.200 0.450 0.750
Dy2 Dy 0.450 0.200 0.250
Dy3 Dy 0.550 0.800 0.750
Dy4 Dy 0.800 0.550 0.250
Mg1 Mg 0.125 0.875 0.250
Mg2 Mg 0.875 0.125 0.750
# Relative energy among the computed polymorphs (eV/atom): 0.181
# Size of the total moment (μB/f.u.): 0.00
# Raw total energy (eV for the cell shown): -38.71
# Space group: I4_1/amd (141)
# Energy of formation (eV/atom): 0.19

---

# 9
# Pm2DyMg8, relaxed, DFT PBE-GGA
data_Pm2DyMg8
_chemical_formula_sum 'Pm2 Dy1 Mg8'
_cell_length_a 8.791
_cell_length_b 8.791
_cell_length_c 8.791
_cell_angle_alpha 145.25
_cell_angle_beta 129.64
_cell_angle_gamma 62.64
_symmetry_space_group_name_H-M 'P 1'
_symmetry_Int_Tables_number 1
loop_
_symmetry_equiv_pos_as_xyz
'x,y,z'
loop_
_atom_site_label
_atom_site_type_symbol
_atom_site_fract_x
_atom_site_fract_y
_atom_site_fract_z
Pm1 Pm 0.203 0.203 0.000
Pm2 Pm 0.797 0.797 0.000
Dy1 Dy 0.500 0.500 0.000
Mg1 Mg 0.066 0.361 0.704
Mg2 Mg 0.213 0.000 0.213
Mg3 Mg 0.343 0.639 0.704
Mg4 Mg 0.344 0.844 0.500
Mg5 Mg 0.656 0.156 0.500
Mg6 Mg 0.657 0.361 0.296
Mg7 Mg 0.787 0.000 0.787
Mg8 Mg 0.934 0.639 0.296
# Size of the total moment (μB/f.u.): 0.00
# Raw total energy (eV for the cell shown): -26.47
# Space group: Immm (71)
# Energy of formation (eV/atom): 0.04

---

# 10
# Pm4Dy2Mg, relaxed, DFT PBE-GGA
data_Pm4Dy2Mg
_chemical_formula_sum 'Pm8 Dy4 Mg2'
_cell_length_a 3.605
_cell_length_b 35.276
_cell_length_c 3.576
_cell_angle_alpha 90.00
_cell_angle_beta 90.00
_cell_angle_gamma 90.00
_symmetry_space_group_name_H-M 'P 1'
_symmetry_Int_Tables_number 1
loop_
_symmetry_equiv_pos_as_xyz
'x,y,z'
loop_
_atom_site_label
_atom_site_type_symbol
_atom_site_fract_x
_atom_site_fract_y
_atom_site_fract_z
Pm1 Pm 0.000 0.064 0.000
Pm2 Pm 0.000 0.362 0.500
Pm3 Pm 0.000 0.638 0.500
Pm4 Pm 0.000 0.936 0.000
Pm5 Pm 0.500 0.138 0.500
Pm6 Pm 0.500 0.436 0.000
Pm7 Pm 0.500 0.564 0.000
Pm8 Pm 0.500 0.862 0.500
Dy1 Dy 0.000 0.208 0.000
Dy2 Dy 0.000 0.792 0.000
Dy3 Dy 0.500 0.292 0.000
Dy4 Dy 0.500 0.708 0.000
Mg1 Mg 0.000 0.500 0.500
Mg2 Mg 0.500 0.000 0.500
# Relative energy among the computed polymorphs (eV/atom): 0.000
# Size of the total moment (μB/f.u.): 0.00
# Raw total energy (eV for the cell shown): -58.85
# Space group: Cmmm (65)
# Energy of formation (eV/atom): 0.05

---

# 11
# Pm4Dy2Mg, relaxed, DFT PBE-GGA
data_Pm4Dy2Mg
_chemical_formula_sum 'Pm4 Dy2 Mg1'
_cell_length_a 8.750
_cell_length_b 8.750
_cell_length_c 8.750
_cell_angle_alpha 37.70
_cell_angle_beta 37.70
_cell_angle_gamma 37.70
_symmetry_space_group_name_H-M 'P 1'
_symmetry_Int_Tables_number 1
loop_
_symmetry_equiv_pos_as_xyz
'x,y,z'
loop_
_atom_site_label
_atom_site_type_symbol
_atom_site_fract_x
_atom_site_fract_y
_atom_site_fract_z
Pm1 Pm 0.068 0.068 0.068
Pm2 Pm 0.211 0.211 0.211
Pm3 Pm 0.789 0.789 0.789
Pm4 Pm 0.932 0.932 0.932
Dy1 Dy 0.358 0.358 0.358
Dy2 Dy 0.642 0.642 0.642
Mg1 Mg 0.500 0.500 0.500
# Relative energy among the computed polymorphs (eV/atom): 0.028
# Size of the total moment (μB/f.u.): 0.00
# Raw total energy (eV for the cell shown): -29.23
# Space group: R-3m (166)
# Energy of formation (eV/atom): 0.08

---

# 12
# Pm4Dy5Mg2, relaxed, DFT PBE-GGA
data_Pm4Dy5Mg2
_chemical_formula_sum 'Pm4 Dy5 Mg2'
_cell_length_a 8.729
_cell_length_b 3.459
_cell_length_c 11.496
_cell_angle_alpha 90.00
_cell_angle_beta 93.94
_cell_angle_gamma 90.00
_symmetry_space_group_name_H-M 'P 1'
_symmetry_Int_Tables_number 1
loop_
_symmetry_equiv_pos_as_xyz
'x,y,z'
loop_
_atom_site_label
_atom_site_type_symbol
_atom_site_fract_x
_atom_site_fract_y
_atom_site_fract_z
Pm1 Pm 0.147 0.000 0.388
Pm2 Pm 0.291 0.000 0.951
Pm3 Pm 0.709 0.000 0.049
Pm4 Pm 0.853 0.000 0.612
Dy1 Dy 0.206 0.500 0.669
Dy2 Dy 0.426 0.500 0.208
Dy3 Dy 0.500 0.500 0.500
Dy4 Dy 0.574 0.500 0.792
Dy5 Dy 0.794 0.500 0.331
Mg1 Mg 0.051 0.500 0.131
Mg2 Mg 0.949 0.500 0.869
# Relative energy among the computed polymorphs (eV/atom): 0.046
# Size of the total moment (μB/f.u.): 0.00
# Raw total energy (eV for the cell shown): -44.33
# Space group: P2/m (10)
# Energy of formation (eV/atom): 0.08